1.
## AcSnP (GGA-PBE)

Data for a geometry-optimized AcSnP structure.

Summary:
The mass density is 6061 kg/m³. Its final energy is -5.09 eV per atom.

Unit cell a=4.293 b=4.293 c=11.199 alpha=90.00 beta=90.00 gamma=90.00
Space group I4mm (No. 107)
Unique sites:
Ac: 0.000 0.000 0.000 (multiplicity 2)
Sn: 0.000 0.000 0.308 (multiplicity 2)
P: 0.000 0.000 0.535 (multiplicity 2)



2.
## LaTl2Pb (GGA-PBE)

Data for a geometry-optimized LaTl2Pb structure.

Summary:
The mass density is 9972 kg/m³. Its final energy is -3.41 eV per atom.

Unit cell a=3.851 b=5.963 c=10.947 alpha=90.00 beta=90.00 gamma=90.00
Space group Cmmm (No. 65)
Unique sites:
La: 0.000 0.000 0.000 (multiplicity 2)
Tl: 0.000 0.500 0.253 (multiplicity 4)
Pb: 0.000 0.000 0.500 (multiplicity 2)



3.
## Er8RuPt2 (GGA-PBE)

Data for a geometry-optimized Er8RuPt2 structure.

Summary:
The mass density is 11125 kg/m³. Its final energy is -5.87 eV per atom.

Unit cell a=17.042 b=4.963 c=6.750 alpha=90.00 beta=106.94 gamma=90.00
Space group C2/m (No. 12)
Unique sites:
Er: 0.031 0.000 0.293 (multiplicity 4)
Er: 0.093 0.500 0.944 (multiplicity 4)
Er: 0.165 0.500 0.465 (multiplicity 4)
Er: 0.202 0.000 0.808 (multiplicity 4)
Ru: 0.000 0.500 0.500 (multiplicity 2)
Pt: 0.187 0.000 0.207 (multiplicity 4)



4.
## Co2SiTe (GGA-PBE)

Data for a geometry-optimized Co2SiTe structure.

Summary:
Its uncorrected formation energy is 277 meV per atom. The mass density is 8097 kg/m³. Its final energy is -5.42 eV per atom.

Unit cell a=4.148 b=4.148 c=3.261 alpha=90.00 beta=90.00 gamma=90.00
Space group P4/mmm (No. 123)
Unique sites:
Co: 0.000 0.500 0.000 (multiplicity 2)
Si: 0.000 0.000 0.500 (multiplicity 1)
Te: 0.500 0.500 0.500 (multiplicity 1)



5.
## Cr3CoTc (GGA-PBE)

Data for a geometry-optimized Cr3CoTc structure.

Summary:
The mass density is 6246 kg/m³. Its final energy is -7.43 eV per atom.

Unit cell a=4.366 b=4.366 c=4.366 alpha=90.00 beta=90.00 gamma=90.00
Space group Pm-3m (No. 221)
Unique sites:
Cr: 0.000 0.000 0.500 (multiplicity 3)
Co: 0.500 0.500 0.500 (multiplicity 1)
Tc: 0.000 0.000 0.000 (multiplicity 1)



6.
## LiGdSn (GGA-PBE)

Data for a geometry-optimized LiGdSn structure.

Summary:
The mass density is 6608 kg/m³. Its final energy is -7.32 eV per atom.

Unit cell a=9.4422 b=9.4422 c=7.3656 alpha=90.00 beta=90.00 gamma=120.00
Space group P6_3mc (No. 186)
Unique sites:
Li: 0.1667 0.3334 0.0000 (multiplicity 6)
Li: 0.3333 0.6667 0.6076 (multiplicity 2)
Gd: 0.0000 0.0000 0.2879 (multiplicity 2)
Gd: 0.0222 0.5111 0.2918 (multiplicity 6)
Sn: 0.1665 0.3331 0.5568 (multiplicity 6)
Sn: 0.3333 0.6667 0.0212 (multiplicity 2)



7.
## Sr2ZnIn6Ga (GGA-PBE)

Data for a geometry-optimized Sr2ZnIn6Ga structure.

Summary:
The mass density is 5677 kg/m³. Its final energy is -2.55 eV per atom.

Unit cell a=7.3343 b=7.3343 c=37.6436 alpha=90.00 beta=90.00 gamma=120.00
Space group R-3m (No. 166, hexagonal axes)
Unique sites:
Sr: 0.0000 0.0000 0.1074 (multiplicity 6)
Sr: 0.0000 0.0000 0.2815 (multiplicity 6)
Zn: 0.0000 0.0000 0.0000 (multiplicity 3)
Zn: 0.0000 0.0000 0.5000 (multiplicity 3)
In: 0.0472 0.5236 0.2994 (multiplicity 18)
In: 0.0582 0.5291 0.8652 (multiplicity 18)
Ga: 0.0000 0.0000 0.4277 (multiplicity 6)



8.
## CeEuScIn (GGA-PBE)

Data for a geometry-optimized CeEuScIn structure.

Summary:
The mass density is 6780 kg/m³. Its final energy is -6.40 eV per atom.

Unit cell a=7.621 b=7.621 c=7.621 alpha=90.00 beta=90.00 gamma=90.00
Space group F-43m (No. 216)
Unique sites:
Ce: 0.000 0.000 0.000 (multiplicity 4)
Eu: 0.250 0.250 0.750 (multiplicity 4)
Sc: 0.000 0.000 0.500 (multiplicity 4)
In: 0.250 0.250 0.250 (multiplicity 4)



9.
## NaLa2PtO (GGA-PBE)

Data for a geometry-optimized NaLa2PtO structure.

Summary:
Its uncorrected formation energy is -247 meV per atom. The mass density is 5380 kg/m³. Its final energy is -4.68 eV per atom.

Unit cell a=5.526 b=5.526 c=5.175 alpha=90.00 beta=90.00 gamma=90.00
Space group P4/mmm (No. 123)
Unique sites:
Na: 0.000 0.000 0.000 (multiplicity 1)
La: 0.000 0.500 0.500 (multiplicity 2)
Pt: 0.000 0.000 0.500 (multiplicity 1)
O: 0.500 0.500 0.000 (multiplicity 1)



10.
## LaNd6Dy2Tm (GGA-PBE)

Data for a geometry-optimized LaNd6Dy2Tm structure.

Summary:
The mass density is 7198 kg/m³. Its final energy is -4.61 eV per atom.

Unit cell a=9.356 b=15.313 c=9.716 alpha=90.00 beta=96.70 gamma=90.00
Space group C2/c (No. 15)
Unique sites:
La: 0.000 0.028 0.250 (multiplicity 4)
Nd: 0.063 0.181 0.945 (multiplicity 8)
Nd: 0.097 0.391 0.117 (multiplicity 8)
Nd: 0.216 0.224 0.314 (multiplicity 8)
Dy: 0.248 0.450 0.451 (multiplicity 8)
Tm: 0.000 0.411 0.750 (multiplicity 4)



11.
## Mg3CdNi8 (GGA-PBE)

Data for a geometry-optimized Mg3CdNi8 structure.

Summary:
The mass density is 6793 kg/m³. Its final energy is -4.49 eV per atom.

Unit cell a=4.8474 b=4.8474 c=23.6024 alpha=90.00 beta=90.00 gamma=120.00
Space group R3m (No. 160, hexagonal axes)
Unique sites:
Mg: 0.0000 0.0000 0.0000 (multiplicity 3)
Mg: 0.0000 0.0000 0.1253 (multiplicity 3)
Mg: 0.0000 0.0000 0.5007 (multiplicity 3)
Cd: 0.0000 0.0000 0.6254 (multiplicity 3)
Ni: 0.0000 0.0000 0.3130 (multiplicity 3)
Ni: 0.0000 0.0000 0.8128 (multiplicity 3)
Ni: 0.0009 0.5004 0.0636 (multiplicity 9)
Ni: 0.1670 0.3339 0.8954 (multiplicity 9)



12.
## RuRh2Pb (GGA-PBE)

Data for a geometry-optimized RuRh2Pb structure.

Summary:
The mass density is 13115 kg/m³. Its final energy is -6.64 eV per atom.

Unit cell a=5.730 b=7.743 c=2.934 alpha=90.00 beta=90.00 gamma=90.00
Space group Cmmm (No. 65)
Unique sites:
Ru: 0.000 0.000 0.000 (multiplicity 2)
Rh: 0.250 0.250 0.500 (multiplicity 4)
Pb: 0.000 0.500 0.000 (multiplicity 2)